Compound: LaOsPt2
Source: the Alexandria database
Functional: PBE-GGA
Structure: optimized geometry

Calculated values
Uncorrected energy: -7.48 eV per atom
Energy relative to the elements: -0.4213 eV/atom
Polymorph energy (0 for the lowest one): 0.00 kcal/mol of atoms
Symmetry: R-3m

Structure (POSCAR):
```
LaOsPt2
1.0
4.477 0.000 0.000
-2.239 3.877 0.000
0.000 0.000 14.966
La Os Pt
3 3 6
Cartesian
0.000 0.000 0.000 La
0.000 2.585 9.977 La
2.239 1.292 4.989 La
0.000 0.000 7.483 Os
0.000 2.585 2.494 Os
2.239 1.292 12.471 Os
0.000 0.000 3.003 Pt
0.000 0.000 11.963 Pt
0.000 2.585 6.974 Pt
0.000 2.585 12.980 Pt
2.239 1.292 1.986 Pt
2.239 1.292 7.992 Pt
```